Sr2CoSn5: relaxed, PBE.

The value obtained for the volume is 231.1 Å³/cell. For the formation energy, the calculation gives -0.295 eV/atom. The calculation puts the total magnetic moment at 0.000 Bohr magnetons per cell. The value obtained for the density of states at the Fermi level is 3.29 states/eV/f.u. The crystal system is tetragonal.

```
Sr2CoSn5
1.0
-0.5232 -6.5258 -1.1697
6.4745 -0.2506 -1.4989
-1.8554 2.4005 6.3420
Sr Co Sn
2 1 5
direct
0.7652 0.2653 0.5305
0.2653 0.7651 0.5305
0.9719 0.9720 0.9438
0.2805 0.7418 0.0223
0.7302 0.7303 0.4605
0.7419 0.7418 0.0224
0.2804 0.2803 0.0220
0.7416 0.2804 0.0220
```


ScPaAlHg: relaxed, PBE.

The value obtained for the volume is 92.1 Å³/cell. For the formation energy, the calculation gives -0.058 eV/atom. The calculation puts the total magnetic moment at 0.935 Bohr magnetons per cell. The value obtained for the density of states at the Fermi level is 6.72 states/eV/f.u. The crystal system is cubic.

```
ScPaAlHg
1.0
5.0697 0.0000 0.0000
2.5349 4.3905 0.0000
2.5349 1.4635 4.1394
Al Hg Pa Sc
1 1 1 1
direct
0.2500 0.2500 0.2500
0.7500 0.7500 0.7500
0.5000 0.5000 0.5000
0.0000 0.0000 0.0000
```


- Number 2 is which compound?
  ScPaAlHg